1.
# CeZrSe2

Crystalline CeZrSe2 at its relaxed geometry (PBE, Alexandria).

Geometry as POSCAR:
```
CeZrSe2
1.0
1.8716 1.0805 9.1704
-1.8716 1.0805 9.1704
0.0000 -2.1611 9.1704
Ce Zr Se
1 1 2
direct
0.0000 0.0000 0.0000
0.5000 0.5000 0.5000
0.1063 0.1063 0.1063
0.8937 0.8937 0.8937
```

Calculated values
crystal system	trigonal
size of the total moment	1.4	μB per cell

2.
# CeZrSe2

Crystalline CeZrSe2 at its relaxed geometry (PBE, Alexandria).

Geometry as POSCAR:
```
CeZrSe2
1.0
1.9670 1.1356 7.0136
-1.9670 1.1356 7.0136
0.0000 -2.2713 7.0136
Ce Zr Se
1 1 2
direct
0.0000 0.0000 0.0000
0.8231 0.8231 0.8231
0.2365 0.2365 0.2365
0.4192 0.4192 0.4192
```

Calculated values
crystal system	trigonal
size of the total moment	1.3	μB per cell

The calculated energies rank the structures as follows, beginning with the most stable: 2, 1.

1.
# Ce5Si3

Crystalline Ce5Si3 at its relaxed geometry (PBE, Alexandria).

Geometry as POSCAR:
```
Ce5Si3
1.0
8.7775 0.0000 0.0000
-4.3887 7.6015 0.0000
0.0000 0.0000 6.1006
Ce Si
10 6
direct
0.0000 0.2686 0.2500
0.0000 0.7314 0.7500
0.2686 0.0000 0.2500
0.2686 0.2686 0.7500
0.3333 0.6667 0.0000
0.3333 0.6667 0.5000
0.6667 0.3333 0.0000
0.6667 0.3333 0.5000
0.7314 0.0000 0.7500
0.7314 0.7314 0.2500
0.0000 0.3792 0.7500
0.0000 0.6208 0.2500
0.3792 0.0000 0.7500
0.3792 0.3792 0.2500
0.6208 0.0000 0.2500
0.6208 0.6208 0.7500
```

Calculated values
crystal system	hexagonal
size of the total moment	9.5	μB per cell

2.
# Ce5Si3

Crystalline Ce5Si3 at its relaxed geometry (PBE, Alexandria).

Geometry as POSCAR:
```
Ce5Si3
1.0
-3.8667 3.8667 6.4389
3.8667 -3.8667 6.4389
3.8667 3.8667 -6.4389
Ce Si
10 6
direct
0.0000 0.0000 0.0000
0.0259 0.5259 0.8601
0.1658 0.0259 0.5000
0.3342 0.8342 0.8601
0.4741 0.3342 0.5000
0.5000 0.5000 0.0000
0.5259 0.6658 0.5000
0.6658 0.1658 0.1399
0.8342 0.9741 0.5000
0.9741 0.4741 0.1399
0.1141 0.3859 0.5000
0.2500 0.2500 0.0000
0.3859 0.8859 0.2718
0.6141 0.1141 0.7282
0.7500 0.7500 0.0000
0.8859 0.6141 0.5000
```

Calculated values
crystal system	tetragonal
size of the total moment	10.0	μB per cell

The calculated energies rank the structures as follows, beginning with the most stable: 2, 1.

1.
# CeSmSi2

Crystalline CeSmSi2 at its relaxed geometry (PBE, Alexandria).

Geometry as POSCAR:
```
CeSmSi2
1.0
3.9000 0.0000 0.0000
0.0000 2.2069 5.4130
0.0000 -2.2069 5.4130
Ce Sm Si
1 1 2
direct
0.0000 0.0000 0.0000
0.5000 0.7194 0.7194
0.0000 0.2881 0.2881
0.5000 0.4324 0.4324
```

Calculated values
crystal system	orthorhombic
size of the total moment	0.8	μB per cell

2.
# CeSmSi2

Crystalline CeSmSi2 at its relaxed geometry (PBE, Alexandria).

Geometry as POSCAR:
```
CeSmSi2
1.0
2.1107 1.2186 6.7838
-2.1107 1.2186 6.7838
0.0000 -2.4372 6.7838
Ce Sm Si
1 1 2
direct
0.0000 0.0000 0.0000
0.5000 0.5000 0.5000
0.2531 0.2531 0.2531
0.7469 0.7469 0.7469
```

Calculated values
crystal system	trigonal
size of the total moment	0.0	μB per cell

The calculated energies rank the structures as follows, beginning with the most stable: 1, 2.

1.
# CeSm2Si

Crystalline CeSm2Si at its relaxed geometry (PBE, Alexandria).

Geometry as POSCAR:
```
CeSm2Si
1.0
1.7960 1.0369 10.8781
-1.7960 1.0369 10.8781
0.0000 -2.0739 10.8781
Ce Sm Si
1 2 1
direct
0.0000 0.0000 0.0000
0.1053 0.1053 0.1053
0.8947 0.8947 0.8947
0.5000 0.5000 0.5000
```

Calculated values
crystal system	trigonal
size of the total moment	1.4	μB per cell

2.
# CeSm2Si

Crystalline CeSm2Si at its relaxed geometry (PBE, Alexandria).

Geometry as POSCAR:
```
CeSm2Si
1.0
4.7526 0.0000 0.0000
0.0000 4.7526 0.0000
0.0000 0.0000 4.5115
Ce Sm Si
1 2 1
direct
0.0000 0.0000 0.0000
0.0000 0.5000 0.5000
0.5000 0.0000 0.5000
0.5000 0.5000 0.0000
```

Calculated values
crystal system	tetragonal
size of the total moment	0.0	μB per cell

The calculated energies rank the structures as follows, beginning with the most stable: 2, 1.

1.
# CeSmSi4

Crystalline CeSmSi4 at its relaxed geometry (PBE, Alexandria).

Geometry as POSCAR:
```
CeSmSi4
1.0
0.0000 3.8019 3.8019
3.8019 0.0000 3.8019
3.8019 3.8019 0.0000
Ce Sm Si
1 1 4
direct
0.0000 0.0000 0.0000
0.7500 0.7500 0.7500
0.3762 0.3762 0.3762
0.3762 0.3762 0.8714
0.3762 0.8714 0.3762
0.8714 0.3762 0.3762
```

Calculated values
crystal system	cubic
size of the total moment	0.0	μB per cell

2.
# CeSmSi4

Crystalline CeSmSi4 at its relaxed geometry (PBE, Alexandria).

Geometry as POSCAR:
```
CeSmSi4
1.0
-2.0446 2.0446 7.1285
2.0446 -2.0446 7.1285
2.0446 2.0446 -7.1285
Ce Sm Si
1 1 4
direct
0.0000 0.0000 0.0000
0.2500 0.7500 0.5000
0.4171 0.4171 0.0000
0.5829 0.5829 0.0000
0.6666 0.1666 0.5000
0.8334 0.3334 0.5000
```

Calculated values
crystal system	tetragonal
size of the total moment	0.0	μB per cell

The calculated energies rank the structures as follows, beginning with the most stable: 2, 1.

1.
# Ce5Si2Sn

Crystalline Ce5Si2Sn at its relaxed geometry (PBE, Alexandria).

Geometry as POSCAR:
```
Ce5Si2Sn
1.0
2.5906 -4.7479 0.0000
2.5906 4.7479 0.0000
0.0000 0.0000 16.9738
Ce Si Sn
10 4 2
direct
0.0662 0.9338 0.5685
0.0662 0.9338 0.9315
0.2670 0.7330 0.2500
0.4091 0.5909 0.5973
0.4091 0.5909 0.9027
0.5909 0.4091 0.0973
0.5909 0.4091 0.4027
0.7330 0.2670 0.7500
0.9338 0.0662 0.0685
0.9338 0.0662 0.4315
0.2660 0.7340 0.0730
0.2660 0.7340 0.4270
0.7340 0.2660 0.5730
0.7340 0.2660 0.9270
0.0570 0.9430 0.7500
0.9430 0.0570 0.2500
```

Calculated values
crystal system	orthorhombic
size of the total moment	7.0	μB per cell

2.
# Ce5Si2Sn

Crystalline Ce5Si2Sn at its relaxed geometry (PBE, Alexandria).

Geometry as POSCAR:
```
Ce5Si2Sn
1.0
-3.9045 3.9045 7.0334
3.9045 -3.9045 7.0334
3.9045 3.9045 -7.0334
Ce Si Sn
10 4 2
direct
0.0000 0.0000 0.0000
0.0315 0.5315 0.8448
0.1867 0.0315 0.5000
0.3133 0.8133 0.8448
0.4685 0.3133 0.5000
0.5000 0.5000 0.0000
0.5315 0.6867 0.5000
0.6867 0.1867 0.1552
0.8133 0.9685 0.5000
0.9685 0.4685 0.1552
0.1190 0.3810 0.5000
0.3810 0.8810 0.2621
0.6190 0.1190 0.7379
0.8810 0.6190 0.5000
0.2500 0.2500 0.0000
0.7500 0.7500 0.0000
```

Calculated values
crystal system	tetragonal
size of the total moment	13.1	μB per cell

The calculated energies rank the structures as follows, beginning with the most stable: 2, 1.

1.
# CeTaSi2

Crystalline CeTaSi2 at its relaxed geometry (PBE, Alexandria).

Geometry as POSCAR:
```
CeTaSi2
1.0
1.9197 1.1083 6.4925
-1.9197 1.1083 6.4925
0.0000 -2.2167 6.4925
Ce Ta Si
1 1 2
direct
0.0000 0.0000 0.0000
0.5000 0.5000 0.5000
0.2377 0.2377 0.2377
0.7623 0.7623 0.7623
```

Calculated values
crystal system	trigonal
size of the total moment	0.0	μB per cell

2.
# CeTaSi2

Crystalline CeTaSi2 at its relaxed geometry (PBE, Alexandria).

Geometry as POSCAR:
```
CeTaSi2
1.0
3.0447 0.0000 0.0000
0.0000 3.1845 4.0163
0.0000 -3.1845 4.0163
Ce Ta Si
1 1 2
direct
0.0000 0.0000 0.0000
0.5000 0.5893 0.5893
0.5000 0.1082 0.4870
0.5000 0.4870 0.1082
```

Calculated values
crystal system	orthorhombic
size of the total moment	0.1	μB per cell

The calculated energies rank the structures as follows, beginning with the most stable: 1, 2.

1.
# TbCeSi

Crystalline TbCeSi at its relaxed geometry (PBE, Alexandria).

Geometry as POSCAR:
```
TbCeSi
1.0
0.0000 3.4579 3.4579
3.4579 0.0000 3.4579
3.4579 3.4579 0.0000
Tb Ce Si
1 1 1
direct
0.0000 0.0000 0.0000
0.5000 0.5000 0.5000
0.2500 0.2500 0.2500
```

Calculated values
crystal system	cubic
size of the total moment	0.7	μB per cell

2.
# TbCeSi

Crystalline TbCeSi at its relaxed geometry (PBE, Alexandria).

Geometry as POSCAR:
```
TbCeSi
1.0
5.1477 0.0000 0.0000
-2.5739 4.4581 0.0000
0.0000 0.0000 6.2208
Tb Ce Si
2 2 2
direct
0.3333 0.6667 0.2500
0.6667 0.3333 0.7500
0.0000 0.0000 0.0000
0.0000 0.0000 0.5000
0.3333 0.6667 0.7500
0.6667 0.3333 0.2500
```

Calculated values
crystal system	hexagonal
size of the total moment	2.0	μB per cell

The calculated energies rank the structures as follows, beginning with the most stable: 2, 1.